a | Density functional theory data (PBE) for crystalline BaIrAu2 at its relaxed geometry.

Summary:
- Symmetry: Pmmm, No. 47
- Theoretical density: 13308 kg/m³
- Magnetic moment: 0.000 Bohr magnetons per cell
- DOS at the Fermi energy: 3.6 states/eV per cell

Unit cell a=3.248 b=3.909 c=7.110 alpha=90.00 beta=90.00 gamma=90.00
Fractional positions:
Ba: 0.000 0.000 0.000
Ir: 0.000 0.000 0.500
Au: 0.500 0.500 0.311
Au: 0.500 0.500 0.689

b | Density functional theory data (PBE) for crystalline BaIrAu2 at its relaxed geometry.

Summary:
- Symmetry: R-3m, No. 166
- Theoretical density: 14035 kg/m³
- Magnetic moment: 0.713 Bohr magnetons per cell
- DOS at the Fermi energy: 3.0 states/eV per cell

Unit cell a=10.301 b=10.301 c=10.301 alpha=17.43 beta=17.43 gamma=17.43
Fractional positions:
Ba: 0.000 0.000 0.000
Ir: 0.500 0.500 0.500
Au: 0.238 0.238 0.238
Au: 0.762 0.762 0.762

c | Density functional theory data (PBE) for crystalline BaIrAu2 at its relaxed geometry.

Summary:
- Symmetry: I4_1/amd, No. 141
- Theoretical density: 9883 kg/m³
- Magnetic moment: 0.000 Bohr magnetons per cell
- DOS at the Fermi energy: 9.0 states/eV per cell

Unit cell a=9.854 b=9.854 c=9.854 alpha=149.69 beta=149.69 gamma=43.40
Fractional positions:
Ba: 0.375 0.625 0.750
Ba: 0.625 0.375 0.250
Ir: 0.125 0.875 0.250
Ir: 0.875 0.125 0.750
Au: 0.000 0.000 0.000
Au: 0.000 0.000 0.500
Au: 0.000 0.500 0.000
Au: 0.500 0.000 0.500

d | Density functional theory data (PBE) for crystalline BaIrAu2 at its relaxed geometry.

Summary:
- Symmetry: P2/m, No. 10
- Theoretical density: 10648 kg/m³
- Magnetic moment: 0.000 Bohr magnetons per cell
- DOS at the Fermi energy: 4.1 states/eV per cell

Unit cell a=4.643 b=4.619 c=5.261 alpha=90.00 beta=90.29 gamma=90.00
Fractional positions:
Ba: 0.000 0.000 0.000
Ir: 0.500 0.000 0.500
Au: 0.499 0.500 0.751
Au: 0.501 0.500 0.249

Quick one: most stable of them? c

a | Density functional theory data (PBE) for crystalline BaIr3Au at its relaxed geometry.

Summary:
- Symmetry: Pm-3m, No. 221
- Theoretical density: 11989 kg/m³
- Magnetic moment: 2.642 Bohr magnetons per cell
- DOS at the Fermi energy: 11.0 states/eV per cell

Unit cell a=5.016 b=5.016 c=5.016 alpha=90.00 beta=90.00 gamma=90.00
Fractional positions:
Ba: 0.000 0.000 0.000
Ir: 0.000 0.500 0.500
Ir: 0.500 0.000 0.500
Ir: 0.500 0.500 0.000
Au: 0.500 0.500 0.500

b | Density functional theory data (PBE) for crystalline BaIr3Au at its relaxed geometry.

Summary:
- Symmetry: Pm-3m, No. 221
- Theoretical density: 11480 kg/m³
- Magnetic moment: 1.384 Bohr magnetons per cell
- DOS at the Fermi energy: 5.8 states/eV per cell

Unit cell a=5.089 b=5.089 c=5.089 alpha=90.00 beta=90.00 gamma=90.00
Fractional positions:
Ba: 0.000 0.000 0.000
Ir: 0.000 0.000 0.500
Ir: 0.000 0.500 0.000
Ir: 0.500 0.000 0.000
Au: 0.500 0.500 0.500

Quick one: most stable of them? a

a | Density functional theory data (PBE) for crystalline K2BaAu at its relaxed geometry.

Summary:
- Symmetry: Fm-3m, No. 225
- Theoretical density: 4147 kg/m³
- Magnetic moment: 0.000 Bohr magnetons per cell
- DOS at the Fermi energy: 4.1 states/eV per cell

Unit cell a=6.159 b=6.159 c=6.159 alpha=60.00 beta=60.00 gamma=60.00
Fractional positions:
K: 0.250 0.250 0.250
K: 0.750 0.750 0.750
Ba: 0.000 0.000 0.000
Au: 0.500 0.500 0.500

b | Density functional theory data (PBE) for crystalline K2BaAu at its relaxed geometry.

Summary:
- Symmetry: Cm, No. 8
- Theoretical density: 3083 kg/m³
- Magnetic moment: 0.000 Bohr magnetons per cell
- DOS at the Fermi energy: 3.1 states/eV per cell

Unit cell a=4.739 b=4.739 c=11.734 alpha=100.61 beta=100.61 gamma=59.64
Fractional positions:
K: 0.000 0.000 0.000
K: 0.216 0.216 0.664
Ba: 0.782 0.782 0.340
Au: 0.495 0.495 0.490

Quick one: most stable of them? b